## PuNbRu (PBE)

Data for an optimized crystal structure of PuNbRu.

Calculated values
Size of the total moment, μB per formula unit: 4.78
Formation energy, meV/atom: 641
E above lowest polymorph, meV per atom: 591.3
Mass density, kg/m3: 11999
Total DFT energy (no corrections), Ha/atom: -0.38900

Cell lengths 2.862, 2.862, 14.798 Å; angles 90.00, 90.00, 90.00 degrees
Space group I4mm (No. 107)
One atom of each set of equivalent atoms:
Pu 0.000 0.000 0.000
Nb 0.000 0.000 0.802
Ru 0.000 0.000 0.640